# BaTl4Pb

A geometry-optimized BaTl4Pb structure (GGA-PBE, the Alexandria database).

DFT formation energy   -0.13 eV/atom
Size of the total moment   0.0 μB per formula unit
Energy above the lowest structure with this stoichiometry   0.0744 eV per atom

abc: 9.326 9.326 9.326
angles: 90.00 90.00 90.00
Space group F-43m (No. 216)
One atom of each set of equivalent atoms:
1 Ba 0.000 0.000 0.000 (multiplicity 4)
2 Tl 0.124 0.124 0.376 (multiplicity 16)
3 Pb 0.250 0.250 0.750 (multiplicity 4)